# Mg2FeF6

A relaxed structure of Mg2FeF6 (PBE with a Hubbard U, Alexandria via LeMat-Bulk).

D(E_F) ... 0.000 states/eV/f.u.
Electronic total energy ... -5.414 eV per atom

Cell: 4.7356 4.7356 9.4757 Å, 90.00 90.00 90.00°
Closest atoms and distances in Å follow each position.
Element x y z (fractional)
Mg (0.5000, 0.5000, 0.3323)  6 F 2.00-2.04
Mg (0.5000, 0.5000, 0.6677)  6 F 2.00-2.04
Mg (0.0000, 0.0000, 0.1677)  6 F 2.00-2.04
Mg (0.0000, 0.0000, 0.8323)  6 F 2.00-2.04
Fe (0.5000, 0.5000, 0.0000)  6 F 2.06-2.12
Fe (0.0000, 0.0000, 0.5000)  6 F 2.06-2.12
F (0.7008, 0.7008, 0.1733)  2 Mg 2.00-2.02, 1 Fe 2.12
F (0.7008, 0.7008, 0.8267)  2 Mg 2.00-2.02, 1 Fe 2.12
F (0.6921, 0.6921, 0.5000)  2 Mg 2.04, 1 Fe 2.06
F (0.8079, 0.1921, 0.0000)  2 Mg 2.04, 1 Fe 2.06
F (0.7992, 0.2008, 0.3267)  2 Mg 2.00-2.02, 1 Fe 2.12
F (0.7992, 0.2008, 0.6733)  2 Mg 2.00-2.02, 1 Fe 2.12
F (0.2008, 0.7992, 0.3267)  2 Mg 2.00-2.02, 1 Fe 2.12
F (0.2008, 0.7992, 0.6733)  2 Mg 2.00-2.02, 1 Fe 2.12
F (0.1921, 0.8079, 0.0000)  2 Mg 2.04, 1 Fe 2.06
F (0.3079, 0.3079, 0.5000)  2 Mg 2.04, 1 Fe 2.06
F (0.2992, 0.2992, 0.1733)  2 Mg 2.00-2.02, 1 Fe 2.12
F (0.2992, 0.2992, 0.8267)  2 Mg 2.00-2.02, 1 Fe 2.12